No. 1
Entry from Alexandria via LeMat-Bulk: CeFeHg after structural relaxation (PBE-GGA).

extended XYZ file:
```
6
Lattice="6.087 -2.314 0.000 6.087 2.314 0.000 -1.377 0.000 4.446" Properties=species:S:1:pos:R:3 pbc="T T T"
Ce 1.194 0.000 1.601
Ce 9.603 0.000 2.845
Fe 1.341 0.000 3.676
Fe 9.455 0.000 0.770
Hg 4.847 0.000 0.841
Hg 5.949 0.000 3.605
```

Properties
Symmetry   C2/m
Crystal system   monoclinic


No. 2
Entry from Alexandria via LeMat-Bulk: Ce2FeHg after structural relaxation (PBE-GGA).

extended XYZ file:
```
8
Lattice="-2.506 5.269 3.341 2.506 -5.269 3.341 2.506 5.269 -3.341" Properties=species:S:1:pos:R:3 pbc="T T T"
Ce 1.253 1.181 0.000
Ce 1.253 -1.882 4.913
Ce 1.253 4.088 3.341
Ce 1.253 7.151 1.572
Fe 1.253 -1.250 1.408
Fe 3.760 1.250 1.408
Hg 1.253 4.318 -0.174
Hg 1.253 0.951 3.168
```

Properties
Symmetry   Ima2
Crystal system   orthorhombic
ΔE to the lowest computed polymorph   0.000 eV/atom


No. 3
Entry from Alexandria via LeMat-Bulk: Ce6PuFeHg2 after structural relaxation (PBE-GGA).

extended XYZ file:
```
10
Lattice="-3.609 3.609 5.096 3.609 -3.609 5.096 3.609 3.609 -5.096" Properties=species:S:1:pos:R:3 pbc="T T T"
Ce 1.742 1.742 0.000
Ce 1.867 -1.867 5.096
Ce 0.000 0.000 2.467
Ce 0.000 0.000 7.725
Ce -1.867 1.867 5.096
Ce 1.867 1.867 5.096
Pu 0.000 0.000 0.000
Fe 0.000 0.000 5.096
Hg 3.609 0.000 2.548
Hg 0.000 3.609 2.548
```

Properties
Symmetry   I4/mmm
Crystal system   tetragonal


No. 4
Entry from Alexandria via LeMat-Bulk: CeTh2FeHg after structural relaxation (PBE-GGA).

extended XYZ file:
```
10
Lattice="6.608 0.000 0.000 0.000 5.358 0.000 -0.794 0.000 7.624" Properties=species:S:1:pos:R:3 pbc="T T T"
Ce 1.024 1.340 0.789
Ce 4.791 4.019 6.836
Th 0.375 4.019 3.467
Th 2.420 1.340 5.270
Th 3.395 4.019 2.354
Th 5.440 1.340 4.158
Fe 1.764 1.340 2.769
Fe 4.051 4.019 4.856
Hg 1.396 4.019 6.771
Hg 4.419 1.340 0.853
```

Properties
Symmetry   P2_1/m
Crystal system   monoclinic


No. 5
Entry from Alexandria via LeMat-Bulk: Ce2ThFeHg after structural relaxation (PBE-GGA).

extended XYZ file:
```
5
Lattice="4.984 0.000 0.000 0.000 4.984 0.000 0.000 0.000 5.374" Properties=species:S:1:pos:R:3 pbc="T T T"
Ce 0.000 2.492 0.000
Ce 2.492 0.000 0.000
Th 0.000 0.000 2.687
Fe 0.000 0.000 0.000
Hg 2.492 2.492 2.687
```

Properties
Symmetry   P4/mmm
Crystal system   tetragonal


No. 6
Entry from Alexandria via LeMat-Bulk: CeTh5FeHg2 after structural relaxation (PBE-GGA).

extended XYZ file:
```
18
Lattice="1.821 -10.253 0.000 1.821 10.253 0.000 0.000 0.000 13.530" Properties=species:S:1:pos:R:3 pbc="T T T"
Ce 1.821 10.092 6.765
Ce 1.821 -10.092 0.000
Th 1.821 10.048 10.383
Th 1.821 7.447 1.739
Th 1.821 5.598 10.451
Th 1.821 5.537 6.505
Th 1.821 2.214 1.621
Th 1.821 -2.214 8.385
Th 1.821 -5.537 13.269
Th 1.821 -5.598 3.686
Th 1.821 -7.447 8.503
Th 1.821 -10.048 3.618
Fe 1.821 4.854 1.722
Fe 1.821 -4.854 8.487
Hg 1.821 2.337 11.512
Hg 1.821 2.317 5.566
Hg 1.821 -2.317 12.331
Hg 1.821 -2.337 4.747
```

Properties
Symmetry   Cmc2_1
Crystal system   orthorhombic


No. 7
Entry from Alexandria via LeMat-Bulk: CeHoFe10 after structural relaxation (PBE-GGA).

extended XYZ file:
```
12
Lattice="3.964 0.000 0.000 0.000 4.957 0.000 0.000 0.000 8.643" Properties=species:S:1:pos:R:3 pbc="T T T"
Ce 0.000 0.000 0.000
Ho 0.000 2.479 4.322
Fe 0.000 0.000 2.814
Fe 0.000 0.000 5.830
Fe 0.000 2.479 1.464
Fe 0.000 2.479 7.180
Fe 1.982 0.000 4.322
Fe 1.982 1.251 2.211
Fe 1.982 1.251 6.432
Fe 1.982 2.479 0.000
Fe 1.982 3.706 2.211
Fe 1.982 3.706 6.432
```

Properties
Symmetry   Pmmm
Crystal system   orthorhombic


No. 8
Entry from Alexandria via LeMat-Bulk: CeHo2Fe after structural relaxation (PBE-GGA).

extended XYZ file:
```
4
Lattice="3.317 0.000 0.000 0.000 3.317 0.000 0.000 0.000 8.977" Properties=species:S:1:pos:R:3 pbc="T T T"
Ce 0.000 0.000 0.000
Ho 1.659 1.659 2.885
Ho 1.659 1.659 6.092
Fe 0.000 0.000 4.489
```

Properties
Symmetry   P4/mmm
Crystal system   tetragonal
ΔE to the lowest computed polymorph   0.244 eV/atom


No. 9
Entry from Alexandria via LeMat-Bulk: CeHo2Fe after structural relaxation (PBE-GGA).

extended XYZ file:
```
4
Lattice="1.665 0.961 10.519 -1.665 0.961 10.519 0.000 -1.923 10.519" Properties=species:S:1:pos:R:3 pbc="T T T"
Ce 0.000 0.000 0.000
Ho 0.000 0.000 3.325
Ho 0.000 0.000 28.231
Fe 0.000 0.000 15.778
```

Properties
Symmetry   R-3m
Crystal system   trigonal
ΔE to the lowest computed polymorph   0.457 eV/atom


No. 10
Entry from Alexandria via LeMat-Bulk: CeHo3Fe8 after structural relaxation (PBE-GGA).

extended XYZ file:
```
12
Lattice="2.564 1.481 8.352 -2.564 1.481 8.352 0.000 -2.961 8.352" Properties=species:S:1:pos:R:3 pbc="T T T"
Ce 0.000 0.000 0.000
Ho 0.000 0.000 3.143
Ho 0.000 0.000 12.548
Ho 0.000 0.000 15.681
Fe 0.000 -1.476 5.745
Fe -1.278 0.738 5.745
Fe -1.279 -0.738 9.944
Fe 0.000 0.000 7.843
Fe 1.278 0.738 5.745
Fe 1.279 -0.738 9.944
Fe 0.000 1.476 9.944
Fe 0.000 0.000 20.381
```

Properties
Symmetry   R3m
Crystal system   trigonal


No. 11
Entry from Alexandria via LeMat-Bulk: Ce2HoFe after structural relaxation (PBE-GGA).

extended XYZ file:
```
16
Lattice="6.815 0.000 0.000 0.000 9.423 0.000 0.000 0.000 6.086" Properties=species:S:1:pos:R:3 pbc="T T T"
Ce 1.030 0.644 0.860
Ce 1.030 4.067 0.860
Ce 2.378 5.356 3.902
Ce 2.378 8.779 3.902
Ce 4.437 0.644 2.183
Ce 4.437 4.067 2.183
Ce 5.785 5.356 5.226
Ce 5.785 8.779 5.226
Ho 0.410 2.356 3.821
Ho 2.998 7.067 0.778
Ho 3.817 2.356 5.308
Ho 6.405 7.067 2.265
Fe 0.455 7.067 5.381
Fe 2.953 2.356 2.338
Fe 3.863 7.067 3.747
Fe 6.360 2.356 0.705
```

Properties
Symmetry   Pnma
Crystal system   orthorhombic
ΔE to the lowest computed polymorph   0.000 eV/atom


No. 12
Entry from Alexandria via LeMat-Bulk: Ce2HoFe after structural relaxation (PBE-GGA).

extended XYZ file:
```
4
Lattice="1.830 1.057 8.839 -1.830 1.057 8.839 0.000 -2.113 8.839" Properties=species:S:1:pos:R:3 pbc="T T T"
Ce 0.000 0.000 5.974
Ce 0.000 0.000 20.541
Ho 0.000 0.000 0.000
Fe 0.000 0.000 13.258
```

Properties
Symmetry   R-3m
Crystal system   trigonal
ΔE to the lowest computed polymorph   0.177 eV/atom


No. 13
Entry from Alexandria via LeMat-Bulk: Ce2HoFe after structural relaxation (PBE-GGA).

extended XYZ file:
```
4
Lattice="3.409 0.000 0.000 0.000 3.409 0.000 0.000 0.000 8.499" Properties=species:S:1:pos:R:3 pbc="T T T"
Ce 0.000 0.000 1.632
Ce 0.000 0.000 6.867
Ho 1.704 1.704 4.250
Fe 1.704 1.704 0.000
```

Properties
Symmetry   P4/mmm
Crystal system   tetragonal
ΔE to the lowest computed polymorph   0.203 eV/atom


No. 14
Entry from Alexandria via LeMat-Bulk: Ce2HoFe after structural relaxation (PBE-GGA).

extended XYZ file:
```
4
Lattice="1.865 1.077 8.620 -1.865 1.077 8.620 0.000 -2.153 8.620" Properties=species:S:1:pos:R:3 pbc="T T T"
Ce 0.000 0.000 0.000
Ce 0.000 0.000 5.605
Ho 0.000 0.000 20.040
Fe 0.000 0.000 15.811
```

Properties
Symmetry   R3m
Crystal system   trigonal
ΔE to the lowest computed polymorph   0.185 eV/atom


No. 15
Entry from Alexandria via LeMat-Bulk: Ce2HoFe after structural relaxation (PBE-GGA).

extended XYZ file:
```
8
Lattice="3.650 0.000 0.000 0.000 9.393 0.000 -1.572 0.000 5.667" Properties=species:S:1:pos:R:3 pbc="T T T"
Ce -0.031 0.649 1.598
Ce -0.031 4.047 1.598
Ce 2.108 5.346 4.069
Ce 2.108 8.744 4.069
Ho 0.374 2.348 4.691
Ho 1.704 7.045 0.976
Fe -0.136 7.045 3.483
Fe 2.213 2.348 2.185
```

Properties
Symmetry   P2_1/m
Crystal system   monoclinic
ΔE to the lowest computed polymorph   0.018 eV/atom


No. 16
Entry from Alexandria via LeMat-Bulk: Ce2HoFe9 after structural relaxation (PBE-GGA).

extended XYZ file:
```
12
Lattice="2.524 1.457 8.211 -2.524 1.457 8.211 0.000 -2.915 8.211" Properties=species:S:1:pos:R:3 pbc="T T T"
Ce 0.000 0.000 3.533
Ce 0.000 0.000 21.101
Ho 0.000 0.000 0.000
Fe -1.255 -0.725 10.198
Fe 0.000 0.000 8.200
Fe 0.000 -1.450 14.436
Fe -1.255 0.725 14.436
Fe 0.000 0.000 12.317
Fe 1.255 -0.725 10.198
Fe 0.000 1.450 10.198
Fe 0.000 0.000 16.435
Fe 1.255 0.725 14.436
```

Properties
Symmetry   R-3m
Crystal system   trigonal


No. 17
Entry from Alexandria via LeMat-Bulk: CeHo2Fe after structural relaxation (PBE-GGA).

extended XYZ file:
```
16
Lattice="6.791 0.000 0.000 0.000 9.440 0.000 0.000 0.000 6.318" Properties=species:S:1:pos:R:3 pbc="T T T"
Ce 0.483 2.360 0.844
Ce 2.912 7.080 4.003
Ce 3.879 2.360 2.314
Ce 6.308 7.080 5.473
Ho 1.138 0.612 4.245
Ho 1.138 4.108 4.245
Ho 2.258 5.332 1.086
Ho 2.258 8.828 1.086
Ho 4.533 0.612 5.232
Ho 4.533 4.108 5.232
Ho 5.654 5.332 2.073
Ho 5.654 8.828 2.073
Fe 0.980 7.080 3.098
Fe 2.416 2.360 6.256
Fe 4.376 7.080 0.061
Fe 5.811 2.360 3.220
```

Properties
Symmetry   Pnma
Crystal system   orthorhombic
ΔE to the lowest computed polymorph   0.000 eV/atom


No. 18
Entry from Alexandria via LeMat-Bulk: CeHoFe4 after structural relaxation (PBE-GGA).

extended XYZ file:
```
6
Lattice="0.000 3.630 3.630 3.630 0.000 3.630 3.630 3.630 0.000" Properties=species:S:1:pos:R:3 pbc="T T T"
Ce 0.000 0.000 0.000
Ho 1.815 1.815 1.815
Fe 4.539 2.722 2.722
Fe 2.722 4.539 2.722
Fe 2.722 2.722 4.539
Fe 4.539 4.539 4.539
```

Properties
Symmetry   F-43m
Crystal system   cubic


No. 19
Entry from Alexandria via LeMat-Bulk: Ce3HoFe after structural relaxation (PBE-GGA).

extended XYZ file:
```
5
Lattice="5.180 0.000 0.000 0.000 5.180 0.000 0.000 0.000 5.180" Properties=species:S:1:pos:R:3 pbc="T T T"
Ce 0.000 0.000 2.590
Ce 0.000 2.590 0.000
Ce 2.590 0.000 0.000
Ho 2.590 2.590 2.590
Fe 0.000 0.000 0.000
```

Properties
Symmetry   Pm-3m
Crystal system   cubic


No. 20
Entry from Alexandria via LeMat-Bulk: CeHoZnFe after structural relaxation (PBE-GGA).

extended XYZ file:
```
4
Lattice="0.000 3.477 3.477 3.477 0.000 3.477 3.477 3.477 0.000" Properties=species:S:1:pos:R:3 pbc="T T T"
Ce 0.000 0.000 0.000
Ho 3.477 3.477 3.477
Zn 5.216 5.216 5.216
Fe 1.739 1.739 1.739
```

Properties
Symmetry   F-43m
Crystal system   cubic


no.,formation enthalpy at 0 K (meV per atom),total magnetization (Bohr magnetons per cell)
1,-222,0.000
2,-126,0.468
3,-243,0.000
4,-142,0.000
5,-122,0.682
6,-37,0.158
7,2,14.365
8,111,1.310
9,324,1.868
10,-94,13.717
11,-75,0.000
12,102,0.000
13,129,0.273
14,110,0.000
15,-57,0.000
16,-75,16.698
17,-133,0.006
18,-79,6.779
19,109,0.883
20,-47,0.505